First-principles (PBE-GGA) data for LaTcNO after structural relaxation, as listed in the Open Quantum Materials Database.

a = 3.5424 Å, b = 3.5424 Å, c = 4.5663 Å
α = 90.00°, β = 90.00°, γ = 90.00°
Fractional positions:
La 0.0000 0.0000 0.0000
Tc 0.5000 0.5000 0.5000
N 0.5000 0.5000 0.0000
O 0.0000 0.0000 0.5000

Computed properties:
ΔE to the lowest computed polymorph: 0.717 eV/atom
Raw total energy: -31.5 eV per cell